[1]
Material: HoZnCo2
Method: DFT, GGA-PBE
State: optimized geometry

Output
Fermi-level density of states, states/eV/f.u.: 5.9
Magnetic moment, Bohr magnetons per cell: 0.48
Energy of formation, eV/atom: -0.028

Cell: 4.130 4.130 3.475 Å, 90.00 90.00 90.00°
Fractional coordinates of all 4 atoms:
Ho 0.000 0.000 0.000
Zn 0.500 0.500 0.000
Co 0.000 0.500 0.500
Co 0.500 0.000 0.500

[2]
Material: Ho3Zn3Co2
Method: DFT, GGA-PBE
State: optimized geometry

Output
Fermi-level density of states, states/eV/f.u.: 4.9
Magnetic moment, Bohr magnetons per cell: 0.00
Energy of formation, eV/atom: -0.298

Cell: 7.225 15.479 5.425 Å, 90.00 90.00 90.00°
Fractional coordinates of all 32 atoms:
Ho 0.035 0.107 0.113
Ho 0.035 0.393 0.113
Ho 0.167 0.250 0.642
Ho 0.333 0.750 0.142
Ho 0.465 0.607 0.613
Ho 0.465 0.893 0.613
Ho 0.535 0.107 0.387
Ho 0.535 0.393 0.387
Ho 0.667 0.250 0.858
Ho 0.833 0.750 0.358
Ho 0.965 0.607 0.887
Ho 0.965 0.893 0.887
Zn 0.169 0.033 0.600
Zn 0.169 0.467 0.600
Zn 0.177 0.750 0.628
Zn 0.323 0.250 0.128
Zn 0.331 0.533 0.100
Zn 0.331 0.967 0.100
Zn 0.669 0.033 0.900
Zn 0.669 0.467 0.900
Zn 0.677 0.750 0.872
Zn 0.823 0.250 0.372
Zn 0.831 0.533 0.400
Zn 0.831 0.967 0.400
Co 0.127 0.613 0.378
Co 0.127 0.887 0.378
Co 0.373 0.113 0.878
Co 0.373 0.387 0.878
Co 0.627 0.613 0.122
Co 0.627 0.887 0.122
Co 0.873 0.113 0.622
Co 0.873 0.387 0.622

[3]
Material: Ho11Zn9Co4
Method: DFT, GGA-PBE
State: optimized geometry

Output
Fermi-level density of states, states/eV/f.u.: 17.4
Magnetic moment, Bohr magnetons per cell: 0.00
Energy of formation, eV/atom: -0.318

Cell: 12.206 12.206 3.588 Å, 90.00 90.00 112.52°
Fractional coordinates of all 24 atoms:
Ho 0.000 0.000 0.000
Ho 0.082 0.416 0.000
Ho 0.168 0.832 0.000
Ho 0.296 0.296 0.000
Ho 0.369 0.631 0.000
Ho 0.416 0.082 0.000
Ho 0.584 0.918 0.000
Ho 0.631 0.369 0.000
Ho 0.704 0.704 0.000
Ho 0.832 0.168 0.000
Ho 0.918 0.584 0.000
Zn 0.069 0.215 0.500
Zn 0.160 0.630 0.500
Zn 0.215 0.069 0.500
Zn 0.370 0.840 0.500
Zn 0.500 0.500 0.500
Zn 0.630 0.160 0.500
Zn 0.785 0.931 0.500
Zn 0.840 0.370 0.500
Zn 0.931 0.785 0.500
Co 0.261 0.451 0.500
Co 0.451 0.261 0.500
Co 0.549 0.739 0.500
Co 0.739 0.549 0.500

[4]
Material: Ho3ZnCo
Method: DFT, GGA-PBE
State: optimized geometry

Output
Fermi-level density of states, states/eV/f.u.: 3.8
Magnetic moment, Bohr magnetons per cell: 0.00
Energy of formation, eV/atom: -0.222
Energy relative to the lowest polymorph listed for this composition, eV/atom: 0.000

Cell: 9.131 8.447 5.589 Å, 78.26 64.92 36.82°
Fractional coordinates of all 10 atoms:
Ho 0.199 0.199 0.801
Ho 0.206 0.579 0.421
Ho 0.421 0.794 0.206
Ho 0.579 0.206 0.794
Ho 0.794 0.421 0.579
Ho 0.801 0.801 0.199
Zn 0.197 0.803 0.803
Zn 0.803 0.197 0.197
Co 0.250 0.250 0.250
Co 0.750 0.750 0.750

[5]
Material: Ho6Zn5Co
Method: DFT, GGA-PBE
State: optimized geometry

Output
Fermi-level density of states, states/eV/f.u.: 7.4
Magnetic moment, Bohr magnetons per cell: 0.00
Energy of formation, eV/atom: -0.329

Cell: 7.826 7.826 7.031 Å, 90.00 90.00 143.01°
Fractional coordinates of all 12 atoms:
Ho 0.000 0.000 0.238
Ho 0.000 0.000 0.762
Ho 0.340 0.660 0.244
Ho 0.340 0.660 0.756
Ho 0.660 0.340 0.244
Ho 0.660 0.340 0.756
Zn 0.169 0.831 0.500
Zn 0.174 0.826 0.000
Zn 0.500 0.500 0.500
Zn 0.826 0.174 0.000
Zn 0.831 0.169 0.500
Co 0.500 0.500 0.000

[6]
Material: Ho3ZnCo8
Method: DFT, GGA-PBE
State: optimized geometry

Output
Fermi-level density of states, states/eV/f.u.: 16.8
Magnetic moment, Bohr magnetons per cell: 8.59
Energy of formation, eV/atom: -0.185

Cell: 8.634 8.634 8.634 Å, 33.46 33.46 33.46°
Fractional coordinates of all 12 atoms:
Ho 0.000 0.000 0.000
Ho 0.128 0.128 0.128
Ho 0.618 0.618 0.618
Zn 0.496 0.496 0.496
Co 0.061 0.061 0.559
Co 0.061 0.559 0.061
Co 0.066 0.562 0.562
Co 0.312 0.312 0.312
Co 0.559 0.061 0.061
Co 0.562 0.066 0.562
Co 0.562 0.562 0.066
Co 0.812 0.812 0.812